No. 1
3
Lattice="0.0000 3.3075 3.3075 3.3075 0.0000 3.3075 3.3075 3.3075 0.0000" Properties=species:S:1:pos:R:3 comment="BaNiP PBE-GGA relaxed" ef_ev_per_fu=-0.11 dos_ef_per_ev_fu=3.90 total_magnetization_mub_per_cell=1.0 space_group="No. 216" pbc="T T T"
Ni 1.6537 1.6537 1.6537
P 0.0000 0.0000 0.0000
Ba 3.3075 3.3075 3.3075

No. 2
6
Lattice="5.2634 0.0000 0.0000 2.6317 4.5582 0.0000 2.6317 1.5194 4.2975" Properties=species:S:1:pos:R:3 comment="AcAlCu4 PBE-GGA relaxed" relative_energy_mev_per_atom=0 ef_ev_per_fu=-0.63 dos_ef_per_ev_fu=2.20 total_magnetization_mub_per_cell=0.0 space_group="No. 216" pbc="T T T"
Cu 6.6060 3.8140 2.6969
Cu 3.9208 3.8140 2.6969
Ac 2.6317 1.5194 1.0744
Cu 5.2634 3.0388 0.5044
Al 0.0000 0.0000 0.0000
Cu 5.2634 1.4885 2.6969

No. 3
6
Lattice="1.9704 4.7303 0.0043 -1.9704 4.7303 0.0043 0.0000 2.3743 7.2342" Properties=species:S:1:pos:R:3 comment="AgSe PBE-GGA relaxed" dos_ef_per_ev_fu=1.19 total_magnetization_mub_per_cell=0.0 energy_ev_per_cell=-18.70 space_group="No. 8" pbc="T T T"
Se 0.0000 8.9767 0.4911
Se 0.0000 9.0872 6.9966
Ag 0.0000 5.3018 5.2715
Ag 0.0000 4.3533 2.3325
Se 0.0000 1.6600 3.5254
Ag 0.0000 8.0983 4.3184

No. 4
10
Lattice="-1.0277 -4.4874 1.8114 4.7902 -0.6805 1.0320 -1.7227 4.9359 11.2506" Properties=species:S:1:pos:R:3 comment="Ba2NaCd4Sn3 PBE-GGA relaxed" ef_ev_per_fu=-3.75 dos_ef_per_ev_fu=4.97 total_magnetization_mub_per_cell=0.0 space_group="No. 115" pbc="T T T"
Sn -2.0030 2.0231 10.6311
Sn -0.8614 2.4680 5.6253
Na 1.0199 -0.1159 7.0470
Cd 1.8812 -2.5839 1.4217
Ba -0.9228 -1.0721 3.5762
Cd -1.6053 0.8835 8.0335
Cd 1.7638 1.4686 4.6388
Sn 2.1615 0.3289 2.0412
Cd 0.0000 0.0000 0.0000
Ba 1.0813 3.4241 9.0961

No. 5
8
Lattice="-4.6336 -3.0415 4.9285 -6.3514 1.1037 -2.9439 -2.3678 -2.5766 -6.1627" Properties=species:S:1:pos:R:3 comment="ZrHgSe2 PBE-GGA relaxed" relative_energy_mev_per_atom=258 dos_ef_per_ev_fu=0.00 total_magnetization_mub_per_cell=0.0 space_group="No. 15" pbc="T T T"
Zr -6.3206 -0.5441 -2.3146
Hg -10.0877 -2.3099 -1.3651
Se -6.4967 -2.0696 -0.2175
Se -1.8644 -0.1577 -0.2633
Se -11.4884 -4.3568 -3.9148
Zr -7.0322 -3.9704 -1.8635
Hg -3.2651 -2.2046 -2.8130
Se -6.8561 -2.4449 -3.9607

No. 6
6
Lattice="4.1207 0.0000 0.0000 -2.0603 3.5686 0.0000 0.0000 0.0000 6.6048" Properties=species:S:1:pos:R:3 comment="PaBeSi2Pt2 PBE-GGA relaxed" dos_ef_per_ev_fu=4.39 total_magnetization_mub_per_cell=0.0 energy_ev_per_cell=-40.44 space_group="No. 164" pbc="T T T"
Be 0.0000 0.0000 3.3024
Pt 2.0603 1.1895 4.3487
Pa 0.0000 0.0000 0.0000
Pt 0.0000 2.3791 2.2561
Si 2.0603 1.1895 1.7569
Si 0.0000 2.3791 4.8479

No. 7
9
Lattice="4.9287 0.0000 0.0000 -2.4644 5.5567 -0.6851 0.0000 -3.2546 8.7200" Properties=species:S:1:pos:R:3 comment="Tb3Cd2In4 PBE-GGA relaxed" ef_ev_per_fu=-3.68 dos_ef_per_ev_fu=5.85 total_magnetization_mub_per_cell=0.0 space_group="No. 12" pbc="T T T"
In 2.4644 2.9638 4.7576
Cd 2.4644 0.3471 2.3037
In 0.0000 0.0268 7.8115
In 2.4644 2.2753 0.2233
Tb 0.0000 0.0000 0.0000
Tb 0.0000 2.6301 2.4507
In 0.0000 -0.6617 3.2773
Cd 0.0000 1.9550 5.7311
Tb 2.4644 -0.3281 5.5841

No. 8
5
Lattice="-0.2645 0.9780 4.2197 -4.1228 -1.0348 -0.0186 3.4679 -5.0709 -0.8388" Properties=species:S:1:pos:R:3 comment="LaGa2GePd PBE-GGA relaxed" ef_ev_per_fu=-3.60 dos_ef_per_ev_fu=1.25 total_magnetization_mub_per_cell=0.0 space_group="No. 44" pbc="T T T"
Ga 0.1558 -0.6236 0.1543
Ge -1.3601 -3.3639 2.9258
La 1.1240 -4.4979 1.1129
Pd -1.5627 -2.5133 0.4845
Ga 0.3449 -1.4204 2.5823